Computed, not measured: a geometry-optimized PuCuAgHg structure at the PBE level of DFT.

## Properties
* crystal system: cubic
* E_form: 0.104 eV per atom

a b c (Å): 4.9573 4.9573 4.9573
angles (deg): 60.00 60.00 60.00
Last column: nearest neighbours and their distance in Å.
Sites, in units of the cell vectors:
Cu  0.2500  0.2500  0.2500  4 Pu 3.04, 4 Ag 3.04
Hg  0.7500  0.7500  0.7500  4 Ag 3.04, 4 Pu 3.04
Ag  0.5000  0.5000  0.5000  4 Cu 3.04, 4 Hg 3.04
Pu  0.0000  0.0000  0.0000  4 Hg 3.04, 4 Cu 3.04